No. 1
Entry from Alexandria: crystalline NaNb3O8 at its relaxed geometry (GGA-PBEsol).

Summary:
Energy above the most stable polymorph in this dataset: 0.00 eV/f.u.

Cell lengths 7.2902, 7.2902, 7.2902 Å; angles 119.49, 88.73, 122.01 degrees
Last column: nearest neighbours and their distance in Å.
Fractional coordinates of all 24 atoms:
Na1 0.2500 0.2500 0.0000  8 O 2.50-2.69
Na2 0.7500 0.7500 0.0000  8 O 2.50-2.69
Nb1 0.2351 0.7489 0.9841  4 O 1.88-1.98
Nb2 0.2500 0.7500 0.5000  8 O 2.09
Nb3 0.2649 0.2489 0.5138  4 O 1.88-1.98
Nb4 0.7351 0.7511 0.4862  4 O 1.88-1.98
Nb5 0.7500 0.2500 0.5000  8 O 2.09
Nb6 0.7649 0.2511 0.0159  4 O 1.88-1.98
O1 0.0624 0.8998 0.5560  2 Nb 1.97-2.09
O2 0.0726 0.6106 0.6832  3 Nb 1.98-2.09
O3 0.1561 0.6002 0.1626  2 Nb 1.97-2.09
O4 0.1692 0.9873 0.1565  1 Nb 1.88
O5 0.3308 0.4873 0.8180  1 Nb 1.88
O6 0.3439 0.5065 0.4440  2 Nb 1.97-2.09
O7 0.4274 0.1106 0.5380  3 Nb 1.98-2.09
O8 0.4376 0.9935 0.8374  2 Nb 1.97-2.09
O9 0.5624 0.0065 0.1626  2 Nb 1.97-2.09
O10 0.5726 0.8894 0.4620  3 Nb 1.98-2.09
O11 0.6561 0.4935 0.5560  2 Nb 1.97-2.09
O12 0.6692 0.5127 0.1820  1 Nb 1.88
O13 0.8308 0.0127 0.8435  1 Nb 1.88
O14 0.8439 0.3998 0.8374  2 Nb 1.97-2.09
O15 0.9274 0.3894 0.3168  3 Nb 1.98-2.09
O16 0.9376 0.1002 0.4440  2 Nb 1.97-2.09

=====

No. 2
Entry from Alexandria: crystalline Na2Zn2O3 at its relaxed geometry (GGA-PBEsol).

Summary:
Energy above the most stable polymorph in this dataset: 0.03 eV/f.u.

Cell lengths 5.8070, 5.8786, 5.9506 Å; angles 90.00, 118.15, 90.00 degrees
Last column: nearest neighbours and their distance in Å.
Fractional coordinates of all 14 atoms:
Na1 0.1410 0.1559 0.4042  3 O 2.33-2.35
Na2 0.1410 0.3441 0.9042  3 O 2.33-2.35
Na3 0.8590 0.6559 0.0958  3 O 2.33-2.35
Na4 0.8590 0.8441 0.5958  3 O 2.33-2.35
Zn1 0.3400 0.6234 0.5782  4 O 1.94-2.04
Zn2 0.3400 0.8766 0.0782  4 O 1.94-2.04
Zn3 0.6600 0.1234 0.9218  4 O 1.94-2.04
Zn4 0.6600 0.3766 0.4218  4 O 1.94-2.04
O1 0.0000 0.0000 0.0000  2 Zn 1.94
O2 0.0000 0.5000 0.5000  2 Zn 1.94
O3 0.3593 0.5892 0.2472  3 Zn 1.94-2.04
O4 0.3593 0.9108 0.7472  3 Zn 1.94-2.04
O5 0.6407 0.0892 0.2528  3 Zn 1.94-2.04
O6 0.6407 0.4108 0.7528  3 Zn 1.94-2.04

=====

No. 3
Entry from Alexandria: crystalline BeCuOF2 at its relaxed geometry (GGA-PBEsol).

Summary:
E_tot: -20.58 eV per cell

Cell lengths 3.7592, 3.7592, 3.8230 Å; angles 90.00, 90.00, 90.00 degrees
Last column: nearest neighbours and their distance in Å.
Fractional coordinates of all 5 atoms:
Be1 0.0000 0.0000 0.0000  4 O 2.66, 8 F 2.68
Cu1 0.5000 0.5000 0.5000  4 F 1.88, 2 O 1.91
O1 0.5000 0.5000 0.0000  2 Cu 1.91
F1 0.0000 0.5000 0.5000  2 Cu 1.88
F2 0.5000 0.0000 0.5000  2 Cu 1.88

=====

No. 4
Entry from Alexandria: crystalline Ca2ScCuP at its relaxed geometry (GGA-PBEsol).

Summary:
ΔH_f (0 K): 13 kJ/mol of atoms

Cell lengths 5.5177, 5.5177, 4.1834 Å; angles 90.00, 90.00, 90.00 degrees
Last column: nearest neighbours and their distance in Å.
Fractional coordinates of all 5 atoms:
Ca1 0.0000 0.5000 0.0000  2 Cu 2.76
Ca2 0.5000 0.0000 0.0000  2 Cu 2.76
Sc1 0.0000 0.0000 0.5000  8 Ca 3.46
Cu1 0.5000 0.5000 0.0000  2 P 2.09
P1 0.5000 0.5000 0.5000  2 Cu 2.09

=====

No. 5
Entry from Alexandria: crystalline Li2CrP2O8 at its relaxed geometry (GGA-PBEsol).

Summary:
E_tot: -95.82 eV per cell

Cell lengths 4.7932, 4.7932, 7.1185 Å; angles 90.00, 90.00, 120.00 degrees
Last column: nearest neighbours and their distance in Å.
Fractional coordinates of all 13 atoms:
Li1 0.3333 0.6667 0.1949  1 O 1.83
Li2 0.6667 0.3333 0.8051  1 O 1.83
Cr1 0.0000 0.0000 0.5000  6 O 1.91
P1 0.3333 0.6667 0.7289  4 O 1.49-1.57
P2 0.6667 0.3333 0.2711  4 O 1.49-1.57
O1 0.0423 0.3458 0.6536  1 P 1.57
O2 0.3036 0.9577 0.6536  1 P 1.57
O3 0.3333 0.6667 0.9378  1 P 1.49
O4 0.3458 0.3036 0.3464  1 P 1.57
O5 0.6542 0.6964 0.6536  1 P 1.57
O6 0.6667 0.3333 0.0622  1 P 1.49
O7 0.6964 0.0423 0.3464  1 P 1.57
O8 0.9577 0.6542 0.3464  1 P 1.57

=====

No. 6
Entry from Alexandria: crystalline KCrMo2O8 at its relaxed geometry (GGA-PBEsol).

Summary:
E_tot: -202.66 eV per cell

Cell lengths 9.2900, 9.2900, 8.9582 Å; angles 118.29, 118.29, 35.30 degrees
Last column: nearest neighbours and their distance in Å.
Fractional coordinates of all 24 atoms:
K1 0.1715 0.8285 0.7500  6 O 2.73-2.89
K2 0.8285 0.1715 0.2500  6 O 2.73-2.89
Cr1 0.0000 0.5000 0.5000  6 O 1.92-1.96
Cr2 0.5000 0.0000 0.0000  6 O 1.92-1.96
Mo1 0.1237 0.5689 0.2302  4 O 1.72-1.80
Mo2 0.4311 0.8763 0.2698  4 O 1.72-1.80
Mo3 0.5689 0.1237 0.7302  4 O 1.72-1.80
Mo4 0.8763 0.4311 0.7698  4 O 1.72-1.80
O1 0.0612 0.4928 0.3189  1 Mo 1.76, 1 Cr 1.92
O2 0.1368 0.2324 0.9298  1 Mo 1.80, 1 Cr 1.96
O3 0.1607 0.7387 0.3907  1 Mo 1.72
O4 0.2324 0.1368 0.4298  1 Mo 1.80, 1 Cr 1.96
O5 0.2613 0.8393 0.1093  1 Mo 1.72
O6 0.2886 0.4183 0.6500  1 Mo 1.80, 1 Cr 1.95
O7 0.4183 0.2886 0.1500  1 Mo 1.80, 1 Cr 1.95
O8 0.4928 0.0612 0.8189  1 Mo 1.76, 1 Cr 1.92
O9 0.5072 0.9388 0.1811  1 Mo 1.76, 1 Cr 1.92
O10 0.5817 0.7114 0.8500  1 Mo 1.80, 1 Cr 1.95
O11 0.7114 0.5817 0.3500  1 Mo 1.80, 1 Cr 1.95
O12 0.7387 0.1607 0.8907  1 Mo 1.72
O13 0.7676 0.8632 0.5702  1 Mo 1.80, 1 Cr 1.96
O14 0.8393 0.2613 0.6093  1 Mo 1.72
O15 0.8632 0.7676 0.0702  1 Mo 1.80, 1 Cr 1.96
O16 0.9388 0.5072 0.6811  1 Mo 1.76, 1 Cr 1.92

=====

No. 7
Entry from Alexandria: crystalline Zn8Os at its relaxed geometry (GGA-PBEsol).

Summary:
ΔH_f (0 K): 7 kJ/mol of atoms

Cell lengths 6.1112, 6.1112, 6.1112 Å; angles 94.99, 94.99, 145.69 degrees
Last column: nearest neighbours and their distance in Å.
Fractional coordinates of all 9 atoms:
Zn1 0.0000 0.3322 0.3322  11 Zn 2.65-2.77, 1 Os 2.74
Zn2 0.0000 0.6678 0.6678  11 Zn 2.65-2.77, 1 Os 2.74
Zn3 0.3322 0.0000 0.3322  11 Zn 2.65-2.77, 1 Os 2.74
Zn4 0.3337 0.3337 0.6674  10 Zn 2.65-2.76, 2 Os 2.65
Zn5 0.3337 0.6663 0.0000  10 Zn 2.65-2.76, 2 Os 2.65
Zn6 0.6663 0.3337 0.0000  10 Zn 2.65-2.76, 2 Os 2.65
Zn7 0.6663 0.6663 0.3326  10 Zn 2.65-2.76, 2 Os 2.65
Zn8 0.6678 0.0000 0.6678  11 Zn 2.65-2.77, 1 Os 2.74
Os1 0.0000 0.0000 0.0000  12 Zn 2.65-2.74

=====

No. 8
Entry from Alexandria: crystalline KGaSe2O6 at its relaxed geometry (GGA-PBEsol).

Summary:
E_tot: -227.12 eV per cell

Cell lengths 14.9186, 5.3561, 7.3514 Å; angles 90.00, 90.00, 90.00 degrees
Last column: nearest neighbours and their distance in Å.
Fractional coordinates of all 40 atoms:
K1 0.1104 0.2500 0.0687  8 O 2.81-2.91
K2 0.3896 0.7500 0.5687  8 O 2.81-2.91
K3 0.6104 0.2500 0.4313  8 O 2.81-2.91
K4 0.8896 0.7500 0.9313  8 O 2.81-2.91
Ga1 0.1279 0.7500 0.6928  6 O 1.97-2.03
Ga2 0.3721 0.2500 0.1928  6 O 1.97-2.03
Ga3 0.6279 0.7500 0.8072  6 O 1.97-2.03
Ga4 0.8721 0.2500 0.3072  6 O 1.97-2.03
Se1 0.0232 0.2500 0.6129  3 O 1.72-1.73
Se2 0.2261 0.2500 0.4982  3 O 1.72-1.73
Se3 0.2739 0.7500 0.9982  3 O 1.72-1.73
Se4 0.4768 0.7500 0.1129  3 O 1.72-1.73
Se5 0.5232 0.2500 0.8871  3 O 1.72-1.73
Se6 0.7261 0.2500 0.0018  3 O 1.72-1.73
Se7 0.7739 0.7500 0.5018  3 O 1.72-1.73
Se8 0.9768 0.7500 0.3871  3 O 1.72-1.73
O1 0.0322 0.0020 0.7607  1 Se 1.72
O2 0.0322 0.4980 0.7607  1 Se 1.72
O3 0.0904 0.7500 0.4317  1 Se 1.73
O4 0.1606 0.7500 0.9524  1 Se 1.72
O5 0.2227 0.0031 0.6489  1 Se 1.73
O6 0.2227 0.4969 0.6489  1 Se 1.73
O7 0.2773 0.5031 0.1489  1 Se 1.73
O8 0.2773 0.9969 0.1489  1 Se 1.73
O9 0.3394 0.2500 0.4524  1 Se 1.72
O10 0.4096 0.2500 0.9317  1 Se 1.73
O11 0.4678 0.5020 0.2607  1 Se 1.72
O12 0.4678 0.9980 0.2607  1 Se 1.72
O13 0.5322 0.0020 0.7393  1 Se 1.72
O14 0.5322 0.4980 0.7393  1 Se 1.72
O15 0.5904 0.7500 0.0683  1 Se 1.73
O16 0.6606 0.7500 0.5476  1 Se 1.72
O17 0.7227 0.0031 0.8511  1 Se 1.73
O18 0.7227 0.4969 0.8511  1 Se 1.73
O19 0.7773 0.5031 0.3511  1 Se 1.73
O20 0.7773 0.9969 0.3511  1 Se 1.73
O21 0.8394 0.2500 0.0476  1 Se 1.72
O22 0.9096 0.2500 0.5683  1 Se 1.73
O23 0.9678 0.5020 0.2393  1 Se 1.72
O24 0.9678 0.9980 0.2393  1 Se 1.72

=====

No. 9
Entry from Alexandria: crystalline CaNiW2 at its relaxed geometry (GGA-PBEsol).

Summary:
Energy above the most stable polymorph in this dataset: 0.57 eV/f.u.
ΔH_f (0 K): 59 kJ/mol of atoms

Cell lengths 2.6913, 2.6913, 8.9474 Å; angles 90.00, 90.00, 90.00 degrees
Last column: nearest neighbours and their distance in Å.
Fractional coordinates of all 4 atoms:
Ca1 0.0000 0.0000 0.0000  4 Ca 2.69
Ni1 0.0000 0.0000 0.5000  8 W 2.63, 4 Ni 2.69
W1 0.5000 0.5000 0.2966  4 Ni 2.63, 4 W 2.69
W2 0.5000 0.5000 0.7034  4 Ni 2.63, 4 W 2.69

=====

No. 10
Entry from Alexandria: crystalline ReTc2Sb at its relaxed geometry (GGA-PBEsol).

Summary:
E_tot: -39.08 eV per cell

Cell lengths 4.8131, 4.8131, 4.7159 Å; angles 99.51, 99.51, 35.70 degrees
Last column: nearest neighbours and their distance in Å.
Fractional coordinates of all 4 atoms:
Re1 0.0000 0.0000 0.0000  6 Tc 2.69-2.78, 4 Sb 2.78, 2 Re 2.95
Tc1 0.2615 0.2615 0.7780  2 Tc 2.60, 3 Re 2.69-2.78, 1 Sb 2.74
Tc2 0.7385 0.7385 0.2220  2 Tc 2.60, 3 Re 2.69-2.78, 1 Sb 2.74
Sb1 0.5000 0.5000 0.5000  6 Tc 2.74-2.92, 4 Re 2.78, 2 Sb 2.95

=====

Number 1: mass density 5.27 g/cm3. Number 2: mass density 4.17 g/cm3. Number 3: mass density 3.89 g/cm3. Number 4: mass density 2.86 g/cm3. Number 5: mass density 3.00 g/cm3. Number 6: mass density 3.52 g/cm3. Number 7: mass density 9.64 g/cm3. Number 8: mass density 4.10 g/cm3. Number 9: mass density 11.95 g/cm3. Number 10: mass density 13.33 g/cm3.